# 1
{
  "formula": "Cs3Sn2Br9",
  "functional": "PBE-GGA",
  "state": "optimized geometry",
  "magmom_total_mub_per_fu": 0.00,
  "lattice": [[8.016, 0.000, 0.000], [-4.008, 6.942, 0.000], [0.000, 0.000, 9.870]],
  "species": ["Cs", "Cs", "Cs", "Sn", "Sn", "Br", "Br", "Br", "Br", "Br", "Br", "Br", "Br", "Br"],
  "frac_coords": [[0.000, 0.000, 0.000], [0.333, 0.667, 0.343], [0.667, 0.333, 0.657], [0.333, 0.667, 0.822], [0.667, 0.333, 0.178], [0.000, 0.500, 0.000], [0.172, 0.344, 0.673], [0.172, 0.828, 0.673], [0.344, 0.172, 0.327], [0.500, 0.000, 0.000], [0.500, 0.500, 0.000], [0.656, 0.828, 0.673], [0.828, 0.172, 0.327], [0.828, 0.656, 0.327]]
}


# 2
{
  "formula": "Cs3SnBr5",
  "functional": "PBE-GGA",
  "state": "optimized geometry",
  "magmom_total_mub_per_fu": 0.00,
  "lattice": [[-4.878, 4.878, 8.692], [4.878, -4.878, 8.692], [4.878, 4.878, -8.692]],
  "species": ["Cs", "Cs", "Cs", "Cs", "Cs", "Cs", "Sn", "Sn", "Br", "Br", "Br", "Br", "Br", "Br", "Br", "Br", "Br", "Br"],
  "frac_coords": [[0.158, 0.658, 0.817], [0.250, 0.250, 0.000], [0.342, 0.158, 0.500], [0.658, 0.842, 0.500], [0.750, 0.750, 0.000], [0.842, 0.342, 0.183], [0.250, 0.750, 0.500], [0.750, 0.250, 0.500], [0.000, 0.000, 0.000], [0.013, 0.194, 0.500], [0.194, 0.694, 0.180], [0.306, 0.487, 0.500], [0.487, 0.987, 0.180], [0.500, 0.500, 0.000], [0.513, 0.013, 0.820], [0.694, 0.513, 0.500], [0.806, 0.306, 0.820], [0.987, 0.806, 0.500]]
}


Short version: N(E_F) = 0.88; 0.00 states/eV/cell, in the order given.
Short version: uncorrected formation energy = -1.22; -1.41 eV/atom, in the order given.
Short version: raw total energy = -3.05; -3.07 eV/atom, in the order given.